1.
This record from the Open Quantum Materials Database describes a geometry-optimized TbPrNO structure. The functional is PBE.

Lattice parameters (Å, degrees): 8.312 6.902 5.110 90.00 90.00 90.00
Fractional positions:
Tb: 0.120 0.076 0.250
Tb: 0.120 0.424 0.750
Tb: 0.880 0.576 0.250
Tb: 0.880 0.924 0.750
Pr: 0.370 0.580 0.250
Pr: 0.370 0.920 0.750
Pr: 0.630 0.080 0.250
Pr: 0.630 0.420 0.750
N: 0.364 0.563 0.750
N: 0.364 0.937 0.250
N: 0.636 0.063 0.750
N: 0.636 0.437 0.250
O: 0.116 0.097 0.750
O: 0.116 0.403 0.250
O: 0.884 0.597 0.750
O: 0.884 0.903 0.250

Results
SG   No. 57
Crystal system   orthorhombic

2.
This record from the Open Quantum Materials Database describes a geometry-optimized TbPrNO structure. The functional is PBE.

Lattice parameters (Å, degrees): 4.089 7.074 5.030 90.00 90.00 90.00
Fractional positions:
Tb: 0.000 0.165 0.000
Tb: 0.000 0.835 0.500
Pr: 0.500 0.335 0.500
Pr: 0.500 0.665 0.000
N: 0.000 0.155 0.501
N: 0.000 0.845 0.001
O: 0.500 0.308 0.000
O: 0.500 0.692 0.500

Results
SG   No. 26
Crystal system   orthorhombic

3.
This record from the Open Quantum Materials Database describes a geometry-optimized TbPrNO structure. The functional is PBE.

Lattice parameters (Å, degrees): 4.310 4.310 8.561 90.00 90.00 90.00
Fractional positions:
Tb: 0.250 0.750 0.000
Tb: 0.750 0.250 0.000
Pr: 0.250 0.250 0.381
Pr: 0.750 0.750 0.619
N: 0.250 0.250 0.890
N: 0.750 0.750 0.110
O: 0.250 0.750 0.500
O: 0.750 0.250 0.500

Results
SG   No. 129
Crystal system   tetragonal

4.
This record from the Open Quantum Materials Database describes a geometry-optimized TbPrNO structure. The functional is PBE.

Lattice parameters (Å, degrees): 6.820 8.270 5.080 90.00 90.00 90.00
Fractional positions:
Tb: 0.085 0.122 0.000
Tb: 0.415 0.122 0.500
Tb: 0.585 0.878 0.000
Tb: 0.915 0.878 0.500
Pr: 0.069 0.626 0.999
Pr: 0.431 0.626 0.499
Pr: 0.569 0.374 0.999
Pr: 0.931 0.374 0.499
N: 0.079 0.117 0.501
N: 0.421 0.117 0.001
N: 0.579 0.883 0.501
N: 0.921 0.883 0.001
O: 0.086 0.643 0.499
O: 0.414 0.643 0.999
O: 0.586 0.357 0.499
O: 0.914 0.357 0.999

Results
SG   No. 29
Crystal system   orthorhombic

The following excess energy over the best structure of this formula in the dataset values (in eV/atom) correspond, in order, to the records above: 0.075, 0.008, 0.438, 0.026.